# PAuBr3

An optimized crystal structure of PAuBr3 (PBE, the Alexandria database).

Lattice parameters (Å, degrees): 5.2998 5.2998 5.2998 90.00 90.00 90.00
Last column: magnetic moment on the atom in μB.
Fractional coordinates of all 5 atoms:
Au: 0.0000 0.0000 0.0000  -0.01
Br: 0.0000 0.0000 0.5000  0.01
Br: 0.5000 0.0000 0.0000  -0.01
Br: 0.0000 0.5000 0.0000  -0.01
P: 0.5000 0.5000 0.5000  0.99

Output
VASP energy, eV/atom: -2.104
ΔE_f (raw), eV/atom: 0.6371
Relative energy among the computed polymorphs, eV per formula unit: 1.352